(1)
This record from Alexandria describes a relaxed Fe5O7F3 crystal. The functional is GGA+U.

a b c (Å): 15.2090 4.6305 4.6468
angles (deg): 90.00 90.00 90.00
With the nearest neighbours (Å) after each atom.
Space group Pmn2_1 (No. 31)
One atom of each set of equivalent atoms:
1 Fe 0.0000 0.2225 0.0000 (multiplicity 2)  5 O 1.91-1.97, 1 F 2.07
2 Fe 0.1013 0.7531 0.4700 (multiplicity 4)  4 O 1.93-2.01, 2 F 2.07-2.08
3 Fe 0.1924 0.2171 0.0000 (multiplicity 4)  4 O 1.93-1.95, 2 F 2.10-2.15
4 O 0.0000 0.9284 0.2884 (multiplicity 2)  3 Fe 1.91-1.93
5 O 0.0961 0.0384 0.7942 (multiplicity 4)  3 Fe 1.93-2.01
6 O 0.0982 0.4294 0.1835 (multiplicity 4)  3 Fe 1.94-2.01
7 O 0.2038 0.9372 0.3080 (multiplicity 4)  3 Fe 1.93-1.95
8 F 0.0000 0.5377 0.6828 (multiplicity 2)  3 Fe 2.07-2.08
9 F 0.2014 0.5466 0.6918 (multiplicity 4)  3 Fe 2.07-2.15

Calculated values
Energy above the most stable polymorph in this dataset in eV/atom: 0.080
M_tot in μB per cell: 42.03

---

(2)
This record from Alexandria describes a relaxed Fe2O3F crystal. The functional is GGA+U.

a b c (Å): 6.3878 6.8883 6.0070
angles (deg): 90.00 90.00 90.00
With the nearest neighbours (Å) after each atom.
Space group Cmcm (No. 63)
One atom of each set of equivalent atoms:
1 Fe 0.0000 0.0000 0.0000 (multiplicity 4)  4 O 1.94-1.96, 2 F 2.04
2 Fe 0.0000 0.4671 0.2500 (multiplicity 4)  5 O 1.96-1.99
3 O 0.0000 0.1779 0.2500 (multiplicity 4)  3 Fe 1.94-1.99
4 O 0.1930 0.5000 0.0000 (multiplicity 8)  3 Fe 1.96
5 F 0.0000 0.2013 0.7500 (multiplicity 4)  3 Fe 2.04-2.28

Calculated values
Energy above the most stable polymorph in this dataset in eV/atom: 0.008
M_tot in μB per cell: 35.98

---

(3)
This record from Alexandria describes a relaxed FeOF crystal. The functional is GGA+U.

a b c (Å): 2.9790 4.8604 14.4031
angles (deg): 90.00 90.00 90.00
With the nearest neighbours (Å) after each atom.
Space group Pmn2_1 (No. 31)
One atom of each set of equivalent atoms:
1 Fe 0.0000 0.1318 0.0000 (multiplicity 2)  3 O 1.92-1.95, 2 F 2.00
2 Fe 0.0000 0.2768 0.3287 (multiplicity 2)  2 O 1.89-1.97, 4 F 2.01
3 Fe 0.0000 0.3049 0.6627 (multiplicity 2)  4 O 1.92-1.94
4 O 0.0000 0.0033 0.4296 (multiplicity 2)  3 Fe 1.92-1.97
5 O 0.0000 0.5308 0.2290 (multiplicity 2)  3 Fe 1.89-1.94
6 O 0.0000 0.8633 0.1002 (multiplicity 2)  3 Fe 1.92-1.95
7 F 0.0000 0.5229 0.8937 (multiplicity 2)  2 Fe 2.01
8 F 0.0000 0.6486 0.5560 (multiplicity 2)  2 Fe 2.00
9 F 0.0000 0.9402 0.7703 (multiplicity 2)  2 Fe 2.01

Calculated values
Energy in eV per atom: -5.82
M_tot in μB per cell: 22.00